Record 1
{
  "formula": "Tm6Pt2Se3S",
  "functional": "PBE-GGA",
  "state": "relaxed",
  "lattice_angstrom": [[-5.182, 4.363, 1.212], [-1.103, -5.741, -3.631], [0.592, -2.920, 6.591]],
  "species": ["Se", "Se", "Se", "Tm", "Tm", "Tm", "Tm", "Tm", "Tm", "Pt", "Pt", "S"],
  "fractional_positions": [[0.838, 0.162, 0.500], [0.500, 0.500, 0.500], [0.162, 0.838, 0.500], [0.263, 0.263, 0.768], [0.418, 0.077, 0.230], [0.737, 0.737, 0.232], [0.923, 0.582, 0.770], [0.077, 0.418, 0.230], [0.582, 0.923, 0.770], [0.667, 0.333, 0.000], [0.333, 0.667, 0.000], [0.000, 0.000, 0.000]],
  "m_tot_mub_per_fu": 0.00,
  "e_tot_ha_per_atom": -0.2224
}

Record 2
{
  "formula": "NbBi2Pd",
  "functional": "PBE-GGA",
  "state": "relaxed",
  "lattice_angstrom": [[1.395, -2.698, 3.977], [-3.227, -3.182, 2.122], [0.695, -4.935, -0.444]],
  "species": ["Pd", "Nb", "Bi", "Bi"],
  "fractional_positions": [[0.500, 0.500, 0.500], [0.000, 0.000, 0.000], [0.750, 0.750, 0.750], [0.250, 0.250, 0.250]],
  "m_tot_mub_per_fu": 0.00,
  "e_tot_ha_per_atom": -0.2033
}

Record 3
{
  "formula": "Ce2LuAu",
  "functional": "PBE-GGA",
  "state": "relaxed",
  "lattice_angstrom": [[-1.289, -3.586, -4.110], [2.985, -2.564, 1.300], [-2.712, -1.890, 2.499]],
  "species": ["Ce", "Ce", "Lu", "Au"],
  "fractional_positions": [[0.000, 0.000, 0.500], [0.000, 0.500, 0.000], [0.500, 0.500, 0.500], [0.500, 0.000, 0.000]],
  "m_tot_mub_per_fu": 0.11,
  "relative_energy_mev_per_atom": 0.0,
  "e_tot_ha_per_atom": -0.1912
}

Record 4
{
  "formula": "Ga6IrOs",
  "functional": "PBE-GGA",
  "state": "relaxed",
  "lattice_angstrom": [[5.197, 0.260, 0.013], [-1.692, 4.921, 0.013], [-0.633, -0.935, 6.187]],
  "species": ["Os", "Ga", "Ga", "Ga", "Ga", "Ga", "Ga", "Ir"],
  "fractional_positions": [[0.500, 0.500, 0.500], [0.730, 0.730, 0.228], [0.956, 0.599, 0.728], [0.401, 0.044, 0.272], [0.044, 0.401, 0.272], [0.270, 0.270, 0.772], [0.599, 0.956, 0.728], [0.000, 0.000, 0.000]],
  "m_tot_mub_per_fu": 0.00,
  "e_tot_ha_per_atom": -0.1746
}

Record 5
{
  "formula": "RbHfSc",
  "functional": "PBE-GGA",
  "state": "relaxed",
  "lattice_angstrom": [[-0.835, 2.950, 1.379], [-3.238, -0.572, -4.825], [-7.696, -7.347, 7.453]],
  "species": ["Hf", "Hf", "Rb", "Rb", "Sc", "Sc"],
  "fractional_positions": [[0.534, 0.082, 0.009], [0.028, 0.921, 0.178], [0.908, 0.469, 0.421], [0.896, 0.056, 0.726], [0.283, 0.458, 0.145], [0.781, 0.617, 0.959]],
  "m_tot_mub_per_fu": 0.00,
  "relative_energy_mev_per_atom": 90.4,
  "e_tot_ha_per_atom": -0.1943
}

Record 6
{
  "formula": "Sn2BiMo",
  "functional": "PBE-GGA",
  "state": "relaxed",
  "lattice_angstrom": [[4.303, 0.000, 0.000], [0.000, 4.303, 0.000], [2.152, 2.152, 10.700]],
  "species": ["Sn", "Sn", "Sn", "Sn", "Bi", "Bi", "Mo", "Mo"],
  "fractional_positions": [[0.613, 0.125, 0.250], [0.875, 0.863, 0.750], [0.137, 0.625, 0.250], [0.375, 0.387, 0.750], [0.750, 0.250, 0.500], [0.000, 0.000, 0.000], [0.250, 0.750, 0.500], [0.500, 0.500, 0.000]],
  "m_tot_mub_per_fu": 1.39,
  "e_tot_ha_per_atom": -0.1868
}

Record 7
{
  "formula": "ReBiRuCl2",
  "functional": "PBE-GGA",
  "state": "relaxed",
  "lattice_angstrom": [[4.569, 0.000, 0.000], [0.000, 5.886, 0.000], [0.000, 0.000, 4.569]],
  "species": ["Bi", "Re", "Cl", "Cl", "Ru"],
  "fractional_positions": [[0.000, 0.500, 0.000], [0.500, 0.500, 0.500], [0.000, 0.000, 0.500], [0.500, 0.000, 0.000], [0.000, 0.000, 0.000]],
  "m_tot_mub_per_fu": 4.78,
  "e_tot_ha_per_atom": -0.1755
}

Record 8
{
  "formula": "Cs2BeIrOs",
  "functional": "PBE-GGA",
  "state": "relaxed",
  "lattice_angstrom": [[-0.831, 6.102, -1.758], [-4.219, -0.612, -0.131], [-0.439, 1.713, 6.155]],
  "species": ["Cs", "Cs", "Be", "Os", "Ir"],
  "fractional_positions": [[0.000, 0.000, 0.500], [0.500, 0.000, 0.000], [0.000, 0.500, 0.000], [0.500, 0.500, 0.500], [0.000, 0.000, 0.000]],
  "m_tot_mub_per_fu": 3.46,
  "e_tot_ha_per_atom": -0.1227
}

Record 9
{
  "formula": "Be5Tc",
  "functional": "PBE-GGA",
  "state": "relaxed",
  "lattice_angstrom": [[1.256, 4.315, -0.079], [-1.256, 4.315, -0.079], [0.000, 1.852, 5.128]],
  "species": ["Be", "Be", "Be", "Be", "Be", "Tc"],
  "fractional_positions": [[0.361, 0.361, 0.749], [0.695, 0.695, 0.610], [0.027, 0.027, 0.475], [0.381, 0.381, 0.293], [0.009, 0.009, 0.929], [0.694, 0.694, 0.112]],
  "m_tot_mub_per_fu": 0.00,
  "relative_energy_mev_per_atom": 172.0,
  "e_tot_ha_per_atom": -0.1779
}

Record 10
{
  "formula": "SeCl2",
  "functional": "PBE-GGA",
  "state": "relaxed",
  "lattice_angstrom": [[-2.744, -3.147, 0.728], [1.597, 0.562, -3.885], [4.393, -3.531, 1.295]],
  "species": ["Se", "Cl", "Cl"],
  "fractional_positions": [[0.000, 0.000, 0.000], [0.333, 0.667, 0.200], [0.667, 0.333, 0.800]],
  "m_tot_mub_per_fu": 0.00,
  "e_tot_ha_per_atom": -0.0782
}

Record 11
{
  "formula": "KCaAu2",
  "functional": "PBE-GGA",
  "state": "relaxed",
  "lattice_angstrom": [[-5.060, -2.013, -0.221], [1.206, -3.479, 4.019], [-1.076, 2.437, 2.432]],
  "species": ["K", "Ca", "Au", "Au"],
  "fractional_positions": [[0.000, 0.500, 0.500], [0.500, 0.000, 0.500], [0.500, 0.500, 0.000], [0.000, 0.000, 0.000]],
  "m_tot_mub_per_fu": 0.00,
  "e_tot_ha_per_atom": -0.1056
}

Record 12
{
  "formula": "K2Zr3CdS8",
  "functional": "PBE-GGA",
  "state": "relaxed",
  "lattice_angstrom": [[-5.430, -5.262, -0.443], [0.186, -5.178, -5.525], [2.536, -8.293, 2.666]],
  "species": ["S", "S", "S", "S", "S", "S", "S", "S", "Zr", "Zr", "Zr", "K", "K", "Cd"],
  "fractional_positions": [[0.265, 0.265, 0.205], [0.705, 0.223, 0.850], [0.223, 0.223, 0.850], [0.223, 0.705, 0.850], [0.750, 0.750, 0.218], [0.283, 0.750, 0.218], [0.718, 0.718, 0.845], [0.750, 0.283, 0.218], [0.493, 0.987, 0.028], [0.987, 0.493, 0.028], [0.493, 0.493, 0.028], [0.139, 0.139, 0.584], [0.488, 0.488, 0.537], [0.979, 0.979, 0.062]],
  "m_tot_mub_per_fu": 0.00,
  "e_tot_ha_per_atom": -0.2125
}

Copy entry 1 word for word.
{
  "formula": "Tm6Pt2Se3S",
  "functional": "PBE-GGA",
  "state": "relaxed",
  "lattice_angstrom": [[-5.182, 4.363, 1.212], [-1.103, -5.741, -3.631], [0.592, -2.920, 6.591]],
  "species": ["Se", "Se", "Se", "Tm", "Tm", "Tm", "Tm", "Tm", "Tm", "Pt", "Pt", "S"],
  "fractional_positions": [[0.838, 0.162, 0.500], [0.500, 0.500, 0.500], [0.162, 0.838, 0.500], [0.263, 0.263, 0.768], [0.418, 0.077, 0.230], [0.737, 0.737, 0.232], [0.923, 0.582, 0.770], [0.077, 0.418, 0.230], [0.582, 0.923, 0.770], [0.667, 0.333, 0.000], [0.333, 0.667, 0.000], [0.000, 0.000, 0.000]],
  "m_tot_mub_per_fu": 0.00,
  "e_tot_ha_per_atom": -0.2224
}